# 1
An optimized crystal structure of Ta2InSb, computed with PBE-GGA.

* uncorrected energy: -89.2 eV/cell
* ρ: 11.27 g/cm3
* N(E_F): 5.31 states/eV/f.u.
* V: 22.051 A^3/atom
* energy above the most stable polymorph in this dataset: 88.3 meV per atom
* uncorrected formation energy: 0.84 eV per formula unit
* symmetry: R3m

The structure in POSCAR format:
```
Ta2InSb
1.0
3.296 0.000 0.000
-1.648 2.855 0.000
0.000 0.000 28.123
Ta In Sb
6 3 3
direct
0.000 0.000 0.000
0.000 0.000 0.263
0.333 0.667 0.667
0.333 0.667 0.929
0.667 0.333 0.333
0.667 0.333 0.596
0.000 0.000 0.511
0.333 0.667 0.178
0.667 0.333 0.844
0.000 0.000 0.746
0.333 0.667 0.412
0.667 0.333 0.079
```

# 2
An optimized crystal structure of TaInSb3, computed with PBE-GGA.

* uncorrected energy: -18.9 eV/cell
* ρ: 6.96 g/cm3
* N(E_F): 8.28 states/eV/f.u.
* V: 31.560 A^3/atom
* energy above the most stable polymorph in this dataset: 1279.9 meV per atom
* uncorrected formation energy: 8.06 eV per formula unit
* symmetry: Pm-3m

The structure in POSCAR format:
```
TaInSb3
1.0
5.404 0.000 0.000
0.000 5.404 0.000
0.000 0.000 5.404
Ta In Sb
1 1 3
direct
0.000 0.000 0.000
0.500 0.500 0.500
0.000 0.500 0.500
0.500 0.000 0.500
0.500 0.500 0.000
```

# 3
An optimized crystal structure of TaInSb2, computed with PBE-GGA.

* uncorrected energy: -42.4 eV/cell
* ρ: 9.76 g/cm3
* N(E_F): 3.30 states/eV/f.u.
* V: 22.934 A^3/atom
* uncorrected formation energy: 1.61 eV per formula unit
* symmetry: Cmmm

The structure in POSCAR format:
```
TaInSb2
1.0
6.253 0.000 0.000
0.000 8.037 0.000
0.000 0.000 3.650
Ta In Sb
2 2 4
direct
0.000 0.000 0.000
0.500 0.500 0.000
0.000 0.500 0.000
0.500 0.000 0.000
0.250 0.250 0.500
0.250 0.750 0.500
0.750 0.250 0.500
0.750 0.750 0.500
```